# 1
Density functional theory data (PBE) for an optimized crystal structure of Cs2ZnHg2.

Lattice parameters (Å, degrees): 4.670 4.670 21.493 90.00 90.00 90.00
Space group I4/mmm (No. 139)
Unique sites:
Cs 0.000 0.000 0.108 x4
Zn 0.000 0.000 0.500 x2
Hg 0.000 0.500 0.250 x4

Output
Calculated formation energy: -0.15 eV per formula unit



# 2
Density functional theory data (PBE) for an optimized crystal structure of Cs2CeB2O6.

Lattice parameters (Å, degrees): 5.6368 5.6368 21.1907 90.00 90.00 120.00
Space group R-3m (No. 166, hexagonal axes)
Unique sites:
Cs 0.0000 0.0000 0.2145 x6
Ce 0.0000 0.0000 0.0000 x3
B 0.0000 0.0000 0.3941 x6
O 0.0480 0.5240 0.2717 x18

Output
Formation energy without anion corrections: -2.57 eV/atom